Record 1
## BaAg2GeSe3S (PBE)

Data for a relaxed structure of BaAg2GeSe3S.

Unit cell a=6.598 b=6.598 c=6.536 alpha=114.35 beta=114.35 gamma=99.98
Element x y z (fractional)
Se1 0.147 0.533 0.998
Se2 0.533 0.147 0.998
Se3 0.852 0.852 0.382
Ba1 0.004 0.004 0.008
S1 0.468 0.468 0.619
Ag1 0.255 0.742 0.504
Ag2 0.742 0.255 0.504
Ge1 0.499 0.499 0.987

energy above the most stable polymorph in this dataset = 5 meV per atom
space group = No. 8

=====

Record 2
## NaZrAgS3 (PBE)

Data for a relaxed structure of NaZrAgS3.

Unit cell a=3.780 b=11.347 c=11.939 alpha=90.00 beta=90.00 gamma=90.00
Element x y z (fractional)
S1 0.250 0.669 0.547
S2 0.750 0.865 0.755
S3 0.250 0.365 0.745
S4 0.750 0.422 0.073
S5 0.750 0.169 0.953
S6 0.750 0.331 0.453
S7 0.750 0.635 0.255
S8 0.250 0.135 0.245
S9 0.750 0.078 0.573
S10 0.250 0.831 0.047
S11 0.250 0.578 0.927
S12 0.250 0.922 0.427
Ag1 0.750 0.292 0.240
Ag2 0.250 0.792 0.260
Ag3 0.250 0.708 0.760
Ag4 0.750 0.208 0.740
Na1 0.750 0.999 0.137
Na2 0.750 0.501 0.637
Na3 0.250 0.499 0.363
Na4 0.250 0.001 0.863
Zr1 0.250 0.335 0.945
Zr2 0.250 0.165 0.445
Zr3 0.750 0.835 0.555
Zr4 0.750 0.665 0.055

spin magnetization = 0.000 μB/atom
energy above the most stable polymorph in this dataset = 42 meV per atom
space group = No. 62

=====

What is the formula in the first record?
BaAg2GeSe3S